Record 1
# MnCo4Mo | Alexandria via LeMat-Bulk | PBE | optimized geometry
# relative energy among the computed polymorphs = 0.37 eV/f.u.
# energy relative to the elements = 0.1064 eV per atom
# crystal system = hexagonal
# ρ = 9.24 g/cm3
data_MnCo4Mo
_space_group_name_H-M_alt 'P 6/m m m'
_space_group_IT_number 191
_space_group_name_Hall '-P 6 2'
_cell_length_a 4.0124
_cell_length_b 4.0124
_cell_length_c 4.9853
_cell_angle_alpha 90.00
_cell_angle_beta 90.00
_cell_angle_gamma 120.00
loop_
_atom_site_label
_atom_site_type_symbol
_atom_site_fract_x
_atom_site_fract_y
_atom_site_fract_z
Mn1 Mn 0.0000 0.0000 0.0000
Co1 Co 0.3333 0.6667 0.2382
Mo1 Mo 0.0000 0.0000 0.5000

=====

Record 2
# SrCoW | Alexandria via LeMat-Bulk | PBE | optimized geometry
# relative energy among the computed polymorphs = 0.01 eV/f.u.
# energy relative to the elements = 0.2949 eV per atom
# crystal system = monoclinic
# ρ = 7.11 g/cm3
data_SrCoW
_space_group_name_H-M_alt 'C 1 2/m 1'
_space_group_IT_number 12
_cell_length_a 7.112
_cell_length_b 4.100
_cell_length_c 10.836
_cell_angle_alpha 90.00
_cell_angle_beta 102.41
_cell_angle_gamma 90.00
loop_
_space_group_symop_operation_xyz
'x,y,z'
'-x,-y,-z'
'-x,y,-z'
'x,-y,z'
'x+1/2,y+1/2,z'
'-x+1/2,-y+1/2,-z'
'-x+1/2,y+1/2,-z'
'x+1/2,-y+1/2,z'
loop_
_atom_site_label
_atom_site_type_symbol
_atom_site_fract_x
_atom_site_fract_y
_atom_site_fract_z
Sr1 Sr 0.234 0.000 0.196
Co1 Co 0.036 0.000 0.611
W1 W 0.148 0.500 0.441

=====

Record 3
# LaMoCl | Alexandria via LeMat-Bulk | PBE | optimized geometry
# relative energy among the computed polymorphs = 0.00 eV/f.u.
# crystal system = hexagonal
# E_form (uncorrected) = 0.1302 eV per atom
# ρ = 7.15 g/cm3
data_LaMoCl
_space_group_name_H-M_alt 'P -6 m 2'
_space_group_IT_number 187
_space_group_name_Hall 'P -6 2'
_cell_length_a 4.4963
_cell_length_b 4.4963
_cell_length_c 3.5861
_cell_angle_alpha 90.00
_cell_angle_beta 90.00
_cell_angle_gamma 120.00
loop_
_atom_site_label
_atom_site_type_symbol
_atom_site_fract_x
_atom_site_fract_y
_atom_site_fract_z
La1 La 0.0000 0.0000 0.0000
Mo1 Mo 0.3333 0.6667 0.5000
Cl1 Cl 0.6667 0.3333 0.5000

=====

Record 4
# CsAlIn | Alexandria via LeMat-Bulk | PBE | optimized geometry
# relative energy among the computed polymorphs = 0.13 eV/f.u.
# energy relative to the elements = 0.0362 eV per atom
# crystal system = triclinic
# ρ = 3.95 g/cm3
data_CsAlIn
_space_group_name_H-M_alt 'P -1'
_space_group_IT_number 2
_cell_length_a 4.437
_cell_length_b 7.425
_cell_length_c 7.433
_cell_angle_alpha 97.96
_cell_angle_beta 90.24
_cell_angle_gamma 107.38
loop_
_space_group_symop_operation_xyz
'x,y,z'
'-x,-y,-z'
loop_
_atom_site_label
_atom_site_type_symbol
_atom_site_fract_x
_atom_site_fract_y
_atom_site_fract_z
Cs1 Cs 0.120 0.233 0.376
Al1 Al 0.218 0.437 0.913
In1 In 0.414 0.827 0.114

=====

Record 5
# Ac3In7Hg4 | Alexandria via LeMat-Bulk | PBE | optimized geometry
# energy relative to the elements = -0.3708 eV per atom
# crystal system = monoclinic
# ρ = 9.60 g/cm3
data_Ac3In7Hg4
_space_group_name_H-M_alt 'C 1 2/m 1'
_space_group_IT_number 12
_cell_length_a 18.290
_cell_length_b 4.870
_cell_length_c 11.253
_cell_angle_alpha 90.00
_cell_angle_beta 127.86
_cell_angle_gamma 90.00
loop_
_space_group_symop_operation_xyz
'x,y,z'
'-x,-y,-z'
'-x,y,-z'
'x,-y,z'
'x+1/2,y+1/2,z'
'-x+1/2,-y+1/2,-z'
'-x+1/2,y+1/2,-z'
'x+1/2,-y+1/2,z'
loop_
_atom_site_label
_atom_site_type_symbol
_atom_site_fract_x
_atom_site_fract_y
_atom_site_fract_z
Ac1 Ac 0.000 0.000 0.000
Ac2 Ac 0.187 0.500 0.678
In1 In 0.000 0.000 0.500
In2 In 0.007 0.500 0.712
In3 In 0.155 0.000 0.884
In4 In 0.158 0.500 0.292
Hg1 Hg 0.145 0.000 0.423
Hg2 Hg 0.157 0.500 0.040

=====

Record 6
# Tl16In12Au | Alexandria via LeMat-Bulk | PBE | optimized geometry
# energy relative to the elements = 0.0079 eV per atom
# crystal system = monoclinic
# ρ = 9.43 g/cm3
data_Tl16In12Au
_space_group_name_H-M_alt 'C 1 m 1'
_space_group_IT_number 8
_cell_length_a 11.890
_cell_length_b 16.853
_cell_length_c 10.248
_cell_angle_alpha 90.00
_cell_angle_beta 123.80
_cell_angle_gamma 90.00
loop_
_space_group_symop_operation_xyz
'x,y,z'
'x,-y,z'
'x+1/2,y+1/2,z'
'x+1/2,-y+1/2,z'
loop_
_atom_site_label
_atom_site_type_symbol
_atom_site_fract_x
_atom_site_fract_y
_atom_site_fract_z
Tl1 Tl 0.000 0.000 0.000
Tl2 Tl 0.001 0.318 0.702
Tl3 Tl 0.125 0.199 0.033
Tl4 Tl 0.284 0.363 0.705
Tl5 Tl 0.302 0.312 0.394
Tl6 Tl 0.317 0.000 0.063
Tl7 Tl 0.320 0.000 0.703
Tl8 Tl 0.377 0.346 0.107
Tl9 Tl 0.438 0.500 0.364
Tl10 Tl 0.477 0.164 0.308
In1 In 0.027 0.500 0.511
In2 In 0.051 0.091 0.719
In3 In 0.092 0.404 0.071
In4 In 0.138 0.183 0.521
In5 In 0.175 0.500 0.871
In6 In 0.235 0.092 0.345
In7 In 0.326 0.189 0.896
Au1 Au 0.148 0.500 0.335